No. 1
Pa4Te3C2 | PBE | relaxed

Cell lengths 8.4948, 8.4948, 6.4185 Å; angles 90.52, 90.52, 73.85 degrees
Fractional positions:
Pa: 0.0570 0.6843 0.5294
Pa: 0.2545 0.4012 0.0705
Pa: 0.3157 0.9430 0.9706
Pa: 0.4012 0.2545 0.5705
Pa: 0.5988 0.7455 0.4295
Pa: 0.6843 0.0570 0.0294
Pa: 0.7455 0.5988 0.9295
Pa: 0.9430 0.3157 0.4706
Te: 0.0201 0.7652 0.0319
Te: 0.2348 0.9799 0.4681
Te: 0.4048 0.5952 0.7500
Te: 0.5952 0.4048 0.2500
Te: 0.7652 0.0201 0.5319
Te: 0.9799 0.2348 0.9681
C: 0.1608 0.4180 0.4120
C: 0.4180 0.1608 0.9120
C: 0.5820 0.8392 0.0880
C: 0.8392 0.5820 0.5880

Properties
ΔE_f (raw)   -0.5841 eV per atom

***

No. 2
Pa2TeC | PBE | relaxed

Cell lengths 8.0205, 8.0205, 8.0205 Å; angles 25.76, 25.76, 25.76 degrees
Fractional positions:
Pa: 0.0000 0.0000 0.0000
Pa: 0.1304 0.1304 0.1304
Te: 0.5651 0.5651 0.5651
C: 0.7315 0.7315 0.7315

Properties
ΔE_f (raw)   -0.2755 eV per atom

***

No. 3
Pa2TeC | PBE | relaxed

Cell lengths 8.2960, 3.7257, 12.7944 Å; angles 90.00, 90.00, 90.00 degrees
Fractional positions:
Pa: 0.0912 0.2500 0.1071
Pa: 0.2253 0.2500 0.7836
Pa: 0.2747 0.7500 0.2836
Pa: 0.4088 0.7500 0.6071
Pa: 0.5912 0.2500 0.3929
Pa: 0.7253 0.2500 0.7164
Pa: 0.7747 0.7500 0.2164
Pa: 0.9088 0.7500 0.8929
Te: 0.0102 0.7500 0.6419
Te: 0.4898 0.2500 0.1419
Te: 0.5102 0.7500 0.8581
Te: 0.9898 0.2500 0.3581
C: 0.0749 0.2500 0.9282
C: 0.4251 0.7500 0.4282
C: 0.5749 0.2500 0.5718
C: 0.9251 0.7500 0.0718

Properties
ΔE_f (raw)   -0.2981 eV per atom

***

No. 4
Pa5Te5C2 | PBE | relaxed

Cell lengths 7.3502, 7.3502, 10.9870 Å; angles 99.37, 99.37, 30.78 degrees
Fractional positions:
Pa: 0.0000 0.0000 0.0000
Pa: 0.0987 0.0987 0.3259
Pa: 0.3631 0.3631 0.2087
Pa: 0.6369 0.6369 0.7913
Pa: 0.9013 0.9013 0.6741
Te: 0.2197 0.2197 0.6098
Te: 0.3301 0.3301 0.9025
Te: 0.5000 0.5000 0.5000
Te: 0.6699 0.6699 0.0975
Te: 0.7803 0.7803 0.3902
C: 0.0451 0.0451 0.8065
C: 0.9549 0.9549 0.1935

Properties
ΔE_f (raw)   -0.6309 eV per atom